(1)
Computed, not measured: AcYCl6 after structural relaxation at the PBE level of DFT.

Properties
SG: R-3, No. 148

Structure (extended XYZ):
```
8
Lattice="3.479 2.009 6.433 -3.479 2.009 6.433 0.000 -4.017 6.433" Properties=species:S:1:pos:R:3 pbc="T T T"
Ac 0.000 0.000 0.000
Y 0.000 0.000 9.650
Cl -2.173 0.036 8.114
Cl -1.118 -1.863 11.185
Cl 1.055 -1.900 8.114
Cl -1.055 1.900 11.185
Cl 1.118 1.863 8.114
Cl 2.173 -0.036 11.185
```

---

(2)
Computed, not measured: Ac3YCl after structural relaxation at the PBE level of DFT.

Properties
SG: Pm-3m, No. 221

Structure (extended XYZ):
```
5
Lattice="5.816 0.000 0.000 0.000 5.816 0.000 0.000 0.000 5.816" Properties=species:S:1:pos:R:3 pbc="T T T"
Ac 0.000 0.000 2.908
Ac 0.000 2.908 0.000
Ac 2.908 0.000 0.000
Y 2.908 2.908 2.908
Cl 0.000 0.000 0.000
```

---

(3)
Computed, not measured: Ac2YCl after structural relaxation at the PBE level of DFT.

Properties
SG: R-3m, No. 166

Structure (extended XYZ):
```
12
Lattice="3.717 0.000 0.000 -1.859 3.219 0.000 0.000 0.000 36.325" Properties=species:S:1:pos:R:3 pbc="T T T"
Ac 0.000 0.000 3.599
Ac 0.000 0.000 32.727
Ac 0.000 2.146 20.618
Ac 0.000 2.146 27.816
Ac 1.859 1.073 8.510
Ac 1.859 1.073 15.707
Y 0.000 0.000 0.000
Y 0.000 2.146 24.217
Y 1.859 1.073 12.108
Cl 0.000 0.000 18.163
Cl 0.000 2.146 6.054
Cl 1.859 1.073 30.271
```

---

(4)
Computed, not measured: AcZnCl after structural relaxation at the PBE level of DFT.

Properties
SG: C2/m, No. 12

Structure (extended XYZ):
```
12
Lattice="7.726 0.000 0.000 0.000 4.464 0.000 -0.348 0.000 11.169" Properties=species:S:1:pos:R:3 pbc="T T T"
Ac 0.000 0.000 2.134
Ac 3.514 2.232 9.035
Ac 3.863 2.232 2.134
Ac 7.377 0.000 9.035
Zn 0.939 2.232 11.104
Zn 2.575 0.000 0.065
Zn 4.802 0.000 11.104
Zn 6.438 2.232 0.065
Cl 1.286 2.232 3.855
Cl 2.229 0.000 7.314
Cl 5.149 0.000 3.855
Cl 6.092 2.232 7.314
```

---

(5)
Computed, not measured: AcZnCl6 after structural relaxation at the PBE level of DFT.

Properties
SG: P-1, No. 2

Structure (extended XYZ):
```
8
Lattice="6.448 0.000 0.000 3.215 5.622 0.000 3.210 1.862 6.323" Properties=species:S:1:pos:R:3 pbc="T T T"
Ac 0.000 0.000 0.000
Zn 6.436 3.742 3.161
Cl 5.318 5.392 4.623
Cl 4.455 3.604 1.700
Cl 5.569 1.941 4.613
Cl 7.304 5.542 1.710
Cl 8.418 3.879 4.623
Cl 7.555 2.092 1.700
```

---

(6)
Computed, not measured: AcZrCl6 after structural relaxation at the PBE level of DFT.

Properties
SG: C2/m, No. 12

Structure (extended XYZ):
```
16
Lattice="6.852 0.000 0.000 0.000 12.235 0.000 -1.964 0.000 6.400" Properties=species:S:1:pos:R:3 pbc="T T T"
Ac 0.000 0.000 0.000
Ac 3.426 6.118 0.000
Zr -0.982 6.118 3.200
Zr 2.444 0.000 3.200
Cl -0.066 4.279 4.759
Cl -0.066 7.956 4.759
Cl 0.283 0.000 4.538
Cl 1.179 6.118 1.862
Cl 1.528 1.839 1.641
Cl 1.528 10.396 1.641
Cl 3.360 1.839 4.759
Cl 3.360 10.396 4.759
Cl 3.709 6.118 4.538
Cl 4.605 0.000 1.862
Cl 4.954 4.279 1.641
Cl 4.954 7.956 1.641
```

---

Number 1: formation energy without anion corrections -18.565 eV per formula unit. Number 2: formation energy without anion corrections -2.323 eV per formula unit. Number 3: formation energy without anion corrections -1.679 eV per formula unit. Number 4: formation energy without anion corrections -3.577 eV per formula unit. Number 5: formation energy without anion corrections -11.343 eV per formula unit. Number 6: formation energy without anion corrections -15.823 eV per formula unit.